(1)
Entry from Alexandria via LeMat-Bulk: a relaxed structure of PrDyHo5 (PBE).

The structure belongs to space group C2/c (No. 15); the cell edges are 11.6585, 6.7773 and 12.1651 Å and the angles 90.00°, 109.29° and 90.00°. The inequivalent atoms are Pr at (0.2500, 0.2500, 0.0000), Dy at (0.0000, 0.0274, 0.2500), Ho at (0.0000, 0.4178, 0.7500), Ho at (0.0757, 0.2729, 0.4988) and Ho at (0.2221, 0.3578, 0.2530).

Its final energy is -4.42 eV/atom. The calculation puts the energy above the most stable polymorph in this dataset at 0.0 meV/atom. The energy of formation from the pure elements is 0.194 eV per atom. Its total magnetization is 0.0 μB/f.u.

(2)
Entry from Alexandria via LeMat-Bulk: a relaxed structure of Ca6Sb3H2 (PBE).

The structure belongs to space group I4/mmm (No. 139); the cell edges are 4.8052, 4.8052 and 24.9073 Å and the angles 90.00°, 90.00° and 90.00°. The inequivalent atoms are Ca at (0.0000, 0.0000, 0.1991), Ca at (0.0000, 0.5000, 0.0826), Sb at (0.0000, 0.0000, 0.3263), Sb at (0.0000, 0.0000, 0.5000) and H at (0.0000, 0.0000, 0.0997).

Its final energy is -3.68 eV/atom. Its total magnetization is 0.0 μB/f.u.